Material: Rb2NaPmI6
Method: DFT, PBE
State: optimized geometry

a b c (Å): 8.462 8.942 12.156
angles (deg): 90.00 89.18 90.00
Element x y z (fractional)
1 Rb 0.029 0.920 0.252
2 Rb 0.529 0.580 0.752
3 Rb 0.971 0.080 0.748
4 Rb 0.471 0.420 0.248
5 Na 0.500 0.000 0.000
6 Na 0.000 0.500 0.500
7 Pm 0.500 0.000 0.500
8 Pm 0.000 0.500 0.000
9 I 0.299 0.691 0.049
10 I 0.799 0.809 0.549
11 I 0.701 0.309 0.951
12 I 0.201 0.191 0.451
13 I 0.314 0.706 0.451
14 I 0.814 0.794 0.951
15 I 0.686 0.294 0.549
16 I 0.186 0.206 0.049
17 I 0.900 0.520 0.247
18 I 0.400 0.980 0.747
19 I 0.100 0.480 0.753
20 I 0.600 0.020 0.253

formation energy without anion corrections: -1.431 eV per atom
V: 919.81 Å³ per cell
final energy: -3.16 eV/atom
symmetry: P2_1/c (14)